! GGA+U FeBrO2F, optimized geometry; values from VASP
! VASP energy: -21.5 eV/cell
! D(E_F): 3.76 states/eV/f.u.
&SYSTEM
  ibrav = 0, nat = 5, ntyp = 4
/
ATOMIC_SPECIES
Fe 55.84 Fe.upf
Br 79.90 Br.upf
O 16.00 O.upf
F 19.00 F.upf
CELL_PARAMETERS angstrom
4.034 0.000 0.000
0.000 4.034 0.000
0.000 0.000 3.888
ATOMIC_POSITIONS crystal
Fe 0.000 0.000 0.000
Br 0.500 0.500 0.500
O 0.000 0.500 0.000
O 0.500 0.000 0.000
F 0.000 0.000 0.500